No. 1
Compound: NdAl2ZnAg
Source: OQMD
Functional: GGA-PBE
Structure: optimized geometry

Properties
* E_tot: -36.56 eV/cell
* SG: I4mm (107)

Structure (POSCAR):
```
NdAl2ZnAg
1.0
4.256 0.000 0.000
0.000 4.256 0.000
0.000 0.000 11.143
Nd Al Zn Ag
2 4 2 2
Cartesian
0.000 0.000 0.000 Nd
2.128 2.128 5.572 Nd
0.000 2.128 2.911 Al
0.000 2.128 8.482 Al
2.128 0.000 2.911 Al
2.128 0.000 8.482 Al
0.000 0.000 4.396 Zn
2.128 2.128 9.968 Zn
0.000 0.000 6.962 Ag
2.128 2.128 1.390 Ag
```

***

No. 2
Compound: DyErAl3Ge2
Source: OQMD
Functional: GGA-PBE
Structure: optimized geometry

Properties
* E_tot: -66.73 eV/cell
* SG: Cm (8)

Structure (POSCAR):
```
DyErAl3Ge2
1.0
10.245 0.000 0.000
0.000 4.064 0.000
-1.161 0.000 6.637
Dy Er Al Ge
2 2 6 4
Cartesian
0.000 0.000 0.000 Dy
5.122 2.032 0.000 Dy
1.648 0.000 4.201 Er
6.770 2.032 4.201 Er
0.828 2.032 2.107 Al
2.989 0.000 1.283 Al
3.777 2.032 2.928 Al
5.951 0.000 2.107 Al
8.111 2.032 1.283 Al
8.899 0.000 2.928 Al
-0.616 2.032 4.478 Ge
1.104 2.032 6.351 Ge
4.506 0.000 4.478 Ge
6.226 0.000 6.351 Ge
```

***

No. 3
Compound: Hf4Co2AsP
Source: OQMD
Functional: GGA-PBE
Structure: optimized geometry

Properties
* E_tot: -70.80 eV/cell
* SG: Pm (6)

Structure (POSCAR):
```
Hf4Co2AsP
1.0
5.238 0.000 0.000
0.000 3.623 0.000
-2.506 0.000 7.010
Hf Co As P
4 2 1 1
Cartesian
0.000 0.000 0.000 Hf
-1.276 1.812 4.452 Hf
1.249 0.000 3.269 Hf
2.500 1.812 0.869 Hf
-0.037 1.812 1.883 Co
-0.086 0.000 5.976 Co
1.381 1.812 5.368 As
3.844 0.000 2.431 P
```

***

No. 4
Compound: CsBeTeIr
Source: OQMD
Functional: GGA-PBE
Structure: optimized geometry

Properties
* polymorph energy (0 for the lowest one): 0 meV/atom
* SG: F-43m (216)

Structure (POSCAR):
```
CsBeTeIr
1.0
7.148 0.000 0.000
0.000 7.148 0.000
0.000 0.000 7.148
Cs Be Te Ir
4 4 4 4
Cartesian
0.000 0.000 0.000 Cs
0.000 3.574 3.574 Cs
3.574 0.000 3.574 Cs
3.574 3.574 0.000 Cs
1.787 1.787 5.361 Be
1.787 5.361 1.787 Be
5.361 1.787 1.787 Be
5.361 5.361 5.361 Be
1.787 1.787 1.787 Te
1.787 5.361 5.361 Te
5.361 1.787 5.361 Te
5.361 5.361 1.787 Te
0.000 0.000 3.574 Ir
0.000 3.574 0.000 Ir
3.574 0.000 0.000 Ir
3.574 3.574 3.574 Ir
```

***

No. 5
Compound: Sr13Pt2
Source: OQMD
Functional: GGA-PBE
Structure: optimized geometry

Properties
* E_tot: -38.68 eV/cell
* SG: P-1 (2)

Structure (POSCAR):
```
Sr13Pt2
1.0
7.415 0.000 0.000
1.161 9.448 0.000
1.199 4.581 10.241
Sr Pt
13 2
Cartesian
0.000 0.000 0.000 Sr
2.404 11.194 7.104 Sr
2.355 8.332 3.911 Sr
2.437 5.411 0.804 Sr
3.640 7.134 7.885 Sr
3.643 4.304 4.774 Sr
3.756 1.414 1.599 Sr
6.020 12.615 8.642 Sr
6.132 9.725 5.467 Sr
6.135 6.894 2.356 Sr
7.338 8.618 9.437 Sr
7.420 5.697 6.330 Sr
7.371 2.835 3.137 Sr
2.436 4.442 7.485 Pt
7.339 9.586 2.757 Pt
```

***

No. 6
Compound: LiTa2SnS4
Source: OQMD
Functional: GGA-PBE
Structure: optimized geometry

Properties
* E_tot: -54.30 eV/cell
* SG: P-3m1 (164)

Structure (POSCAR):
```
LiTa2SnS4
1.0
3.336 0.000 0.000
-1.668 2.889 0.000
0.000 0.000 15.000
Li Ta Sn S
1 2 1 4
Cartesian
0.000 0.000 0.000 Li
0.000 0.000 3.245 Ta
0.000 0.000 11.755 Ta
0.000 0.000 7.500 Sn
0.000 1.926 1.655 S
0.000 1.926 4.808 S
1.668 0.963 10.193 S
1.668 0.963 13.345 S
```

***

No. 7
Compound: LuZnCu2
Source: OQMD
Functional: GGA-PBE
Structure: optimized geometry

Properties
* ΔE_f: -0.153 eV per atom
* SG: F-43m (216)

Structure (POSCAR):
```
LuZnCu2
1.0
6.328 0.000 0.000
0.000 6.328 0.000
0.000 0.000 6.328
Lu Zn Cu
4 4 8
Cartesian
0.000 0.000 0.000 Lu
0.000 3.164 3.164 Lu
3.164 0.000 3.164 Lu
3.164 3.164 0.000 Lu
1.582 1.582 1.582 Zn
1.582 4.746 4.746 Zn
4.746 1.582 4.746 Zn
4.746 4.746 1.582 Zn
0.000 0.000 3.164 Cu
0.000 3.164 0.000 Cu
1.582 1.582 4.746 Cu
1.582 4.746 1.582 Cu
3.164 0.000 0.000 Cu
3.164 3.164 3.164 Cu
4.746 1.582 1.582 Cu
4.746 4.746 4.746 Cu
```

***

No. 8
Compound: Tb2PmN3
Source: OQMD
Functional: GGA-PBE
Structure: optimized geometry

Properties
* E_tot: -48.45 eV/cell
* SG: P-3m1 (164)

Structure (POSCAR):
```
Tb2PmN3
1.0
3.517 0.000 0.000
-1.759 3.046 0.000
0.000 0.000 8.612
Tb Pm N
2 1 3
Cartesian
0.000 2.031 2.895 Tb
1.759 1.015 5.716 Tb
0.000 0.000 0.000 Pm
0.000 0.000 4.306 N
0.000 2.031 7.121 N
1.759 1.015 1.491 N
```

***

No. 9
Compound: Pr2GdPdPt2Pb3
Source: OQMD
Functional: GGA-PBE
Structure: optimized geometry

Properties
* E_tot: -49.93 eV/cell
* SG: Amm2 (38)

Structure (POSCAR):
```
Pr2GdPdPt2Pb3
1.0
4.094 0.000 0.000
0.000 6.809 3.948
0.000 -6.809 3.948
Pr Gd Pd Pt Pb
2 1 1 2 3
Cartesian
0.000 -4.020 3.948 Pr
0.000 4.020 3.948 Pr
0.000 0.000 4.848 Gd
0.000 0.000 1.659 Pd
2.047 -2.206 5.547 Pt
2.047 2.206 5.547 Pt
2.047 -1.738 2.640 Pb
2.047 1.738 2.640 Pb
2.047 0.000 7.494 Pb
```

***

No. 10
Compound: Dy4CI2Br3
Source: OQMD
Functional: GGA-PBE
Structure: optimized geometry

Properties
* polymorph energy (0 for the lowest one): 11 meV/atom
* SG: C2/m (12)

Structure (POSCAR):
```
Dy4CI2Br3
1.0
9.331 -1.934 0.000
9.331 1.934 0.000
-1.653 0.000 8.038
Dy C I Br
4 1 2 3
Cartesian
-0.475 0.000 2.416 Dy
6.167 0.000 3.537 Dy
10.842 0.000 4.501 Dy
17.483 0.000 5.622 Dy
8.504 0.000 4.019 C
1.677 0.000 6.823 I
15.332 0.000 1.215 I
2.500 0.000 2.608 Br
9.331 0.000 0.000 Br
14.509 0.000 5.429 Br
```

***

No. 11
Compound: ZrIn2Tc
Source: OQMD
Functional: GGA-PBE
Structure: optimized geometry

Properties
* E_tot: -95.59 eV/cell
* SG: F-43m (216)

Structure (POSCAR):
```
ZrIn2Tc
1.0
6.795 0.000 0.000
0.000 6.795 0.000
0.000 0.000 6.795
Zr In Tc
4 8 4
Cartesian
0.000 0.000 0.000 Zr
0.000 3.397 3.397 Zr
3.397 0.000 3.397 Zr
3.397 3.397 0.000 Zr
0.000 0.000 3.397 In
0.000 3.397 0.000 In
1.699 1.699 1.699 In
1.699 5.096 5.096 In
3.397 0.000 0.000 In
3.397 3.397 3.397 In
5.096 1.699 5.096 In
5.096 5.096 1.699 In
1.699 1.699 5.096 Tc
1.699 5.096 1.699 Tc
5.096 1.699 1.699 Tc
5.096 5.096 5.096 Tc
```

***

No. 12
Compound: KPrFeTe3
Source: OQMD
Functional: GGA-PBE
Structure: optimized geometry

Properties
* polymorph energy (0 for the lowest one): 0 meV/atom
* SG: Pnma (62)

Structure (POSCAR):
```
KPrFeTe3
1.0
16.352 0.000 0.000
0.000 4.372 0.000
0.000 0.000 12.042
K Pr Fe Te
4 4 4 12
Cartesian
3.782 1.093 0.347 K
4.394 3.279 6.368 K
11.958 1.093 5.674 K
12.570 3.279 11.695 K
0.309 1.093 4.113 Pr
7.867 3.279 10.134 Pr
8.485 1.093 1.908 Pr
16.043 3.279 7.929 Pr
0.122 3.279 0.884 Fe
8.054 1.093 6.905 Fe
8.299 3.279 5.137 Fe
16.230 1.093 11.158 Fe
1.451 3.279 10.665 Te
1.745 1.093 6.919 Te
2.098 3.279 2.663 Te
6.078 1.093 8.684 Te
6.431 3.279 0.898 Te
6.725 1.093 4.644 Te
9.627 3.279 7.398 Te
9.921 1.093 11.145 Te
10.274 3.279 3.358 Te
14.254 1.093 9.379 Te
14.608 3.279 5.124 Te
14.901 1.093 1.377 Te
```

***

Number 1: magnetization 0.01 μB/f.u.. Number 2: magnetization 0.00 μB/f.u.. Number 3: magnetization 0.01 μB/f.u.. Number 4: magnetization 0.00 μB/f.u.. Number 5: magnetization 0.01 μB/f.u.. Number 6: magnetization 0.01 μB/f.u.. Number 7: magnetization 0.00 μB/f.u.. Number 8: magnetization 0.00 μB/f.u.. Number 9: magnetization 0.00 μB/f.u.. Number 10: magnetization 0.02 μB/f.u.. Number 11: magnetization 0.32 μB/f.u.. Number 12: magnetization 3.84 μB/f.u..